1.
The following is a DFT calculation (GGA-PBE) of a relaxed SrW crystal.

## Properties
Its formation energy is 0.97 eV per atom. For the total magnetization, the calculation gives 0.0 μB per cell. The energy relative to the lowest polymorph listed for this composition comes out at 0.447 eV per atom. As for the total DFT energy (no corrections): -25.386 eV/cell.

Cell: 3.5830 3.5830 10.5943 Å, 90.00 90.00 120.00°
Space group P-3m1 (No. 164)
One atom of each set of equivalent atoms:
1 Sr 0.3333 0.6667 0.1764 (multiplicity 2)
2 W 0.3333 0.6667 0.5695 (multiplicity 2)

2.
The following is a DFT calculation (GGA-PBE) of a relaxed SrW crystal.

## Properties
Its formation energy is 1.01 eV per atom. For the total magnetization, the calculation gives 0.1 μB per cell. The energy relative to the lowest polymorph listed for this composition comes out at 0.490 eV per atom. As for the total DFT energy (no corrections): -75.646 eV/cell.

Cell: 4.2741 5.6409 15.4284 Å, 90.00 90.00 90.00°
Space group Immm (No. 71)
One atom of each set of equivalent atoms:
1 Sr 0.0000 0.0000 0.0000 (multiplicity 2)
2 Sr 0.0000 0.5000 0.3207 (multiplicity 4)
3 W 0.0000 0.0000 0.5000 (multiplicity 2)
4 W 0.0000 0.5000 0.0883 (multiplicity 4)

3.
The following is a DFT calculation (GGA-PBE) of a relaxed SrW3 crystal.

## Properties
Its formation energy is 1.12 eV per atom. For the total magnetization, the calculation gives 0.0 μB per cell. The energy relative to the lowest polymorph listed for this composition comes out at 0.345 eV per atom. As for the total DFT energy (no corrections): -108.225 eV/cell.

Cell: 2.8440 2.8440 32.5857 Å, 90.00 90.00 120.00°
Space group R-3m (No. 166, hexagonal axes)
One atom of each set of equivalent atoms:
1 Sr 0.0000 0.0000 0.0000 (multiplicity 3)
2 W 0.0000 0.0000 0.2418 (multiplicity 6)
3 W 0.0000 0.0000 0.5000 (multiplicity 3)

4.
The following is a DFT calculation (GGA-PBE) of a relaxed SrW3 crystal.

## Properties
Its formation energy is 1.25 eV per atom. For the total magnetization, the calculation gives 0.0 μB per cell. The energy relative to the lowest polymorph listed for this composition comes out at 0.482 eV per atom. As for the total DFT energy (no corrections): -142.107 eV/cell.

Cell: 6.6836 6.6836 6.6836 Å, 90.00 90.00 90.00°
Space group Fm-3m (No. 225)
One atom of each set of equivalent atoms:
1 Sr 0.0000 0.0000 0.0000 (multiplicity 4)
2 W 0.0000 0.0000 0.5000 (multiplicity 4)
3 W 0.2500 0.2500 0.2500 (multiplicity 8)

5.
The following is a DFT calculation (GGA-PBE) of a relaxed SrW2 crystal.

## Properties
Its formation energy is 1.25 eV per atom. For the total magnetization, the calculation gives 0.0 μB per cell. As for the total DFT energy (no corrections): -47.658 eV/cell.

Cell: 8.1804 5.3305 2.8378 Å, 90.00 90.27 90.00°
Space group C2/m (No. 12)
One atom of each set of equivalent atoms:
1 Sr 0.0000 0.0000 0.0000 (multiplicity 2)
2 W 0.1498 0.5000 0.6246 (multiplicity 4)

6.
The following is a DFT calculation (GGA-PBE) of a relaxed Sr3W crystal.

## Properties
Its formation energy is 0.96 eV per atom. For the total magnetization, the calculation gives 2.7 μB per cell. The energy relative to the lowest polymorph listed for this composition comes out at 0.445 eV per atom. As for the total DFT energy (no corrections): -14.166 eV/cell.

Cell: 3.9062 3.9062 10.1523 Å, 90.00 90.00 90.00°
Space group P4/mmm (No. 123)
One atom of each set of equivalent atoms:
1 Sr 0.0000 0.0000 0.0000 (multiplicity 1)
2 Sr 0.5000 0.5000 0.3170 (multiplicity 2)
3 W 0.0000 0.0000 0.5000 (multiplicity 1)